# 1
KCr3 | PBE | optimized geometry

```
KCr3
1.0
7.967 0.000 0.000
-3.983 6.899 0.000
0.000 0.000 3.803
K Cr
2 6
Direct
0.333 0.667 0.250
0.667 0.333 0.750
0.098 0.197 0.750
0.098 0.902 0.750
0.197 0.098 0.250
0.803 0.902 0.750
0.902 0.098 0.250
0.902 0.803 0.250
```

Values from the calculation:
Energy of formation: 1.047 eV per atom
Fermi-level density of states: 5.13 states/eV per cell
ΔE to the lowest computed polymorph: 253 meV per atom
E: -6.4446 eV per atom
Crystal system: hexagonal

=====

# 2
CsTm3F10 | PBE | optimized geometry

```
CsTm3F10
1.0
0.000 5.809 5.809
5.809 0.000 5.809
5.809 5.809 0.000
Cs Tm F
2 6 20
Direct
0.250 0.250 0.250
0.750 0.750 0.750
0.240 0.240 0.760
0.240 0.760 0.240
0.240 0.760 0.760
0.760 0.240 0.240
0.760 0.240 0.760
0.760 0.760 0.240
0.109 0.109 0.109
0.109 0.109 0.674
0.109 0.674 0.109
0.174 0.500 0.500
0.174 0.500 0.826
0.174 0.826 0.500
0.326 0.891 0.891
0.500 0.174 0.500
0.500 0.174 0.826
0.500 0.500 0.174
0.500 0.500 0.826
0.500 0.826 0.174
0.500 0.826 0.500
0.674 0.109 0.109
0.826 0.174 0.500
0.826 0.500 0.174
0.826 0.500 0.500
0.891 0.326 0.891
0.891 0.891 0.326
0.891 0.891 0.891
```

Values from the calculation:
Raw formation energy: -3.99 eV per atom
Fermi-level density of states: 0.00 states/eV per cell
E: -6.3489 eV per atom
Crystal system: cubic

=====

# 3
Mg2Zn5Pt2Au3 | PBE | optimized geometry

```
Mg2Zn5Pt2Au3
1.0
-1.915 1.915 14.079
1.915 -1.915 14.079
1.915 1.915 -14.079
Mg Zn Pt Au
2 5 2 3
Direct
0.223 0.223 0.000
0.777 0.777 0.000
0.000 0.000 0.000
0.074 0.574 0.500
0.426 0.926 0.500
0.574 0.074 0.500
0.926 0.426 0.500
0.132 0.132 0.000
0.868 0.868 0.000
0.320 0.320 0.000
0.500 0.500 0.000
0.680 0.680 0.000
```

Values from the calculation:
Energy of formation: -0.267 eV per atom
Fermi-level density of states: 3.94 states/eV per cell
E: -2.8902 eV per atom
Crystal system: tetragonal

=====

# 4
Hf3H2Os | PBE | optimized geometry

```
Hf3H2Os
1.0
9.948 -1.606 0.000
9.948 1.606 0.000
-1.336 0.000 5.575
Hf H Os
6 4 2
Direct
0.043 0.043 0.291
0.232 0.232 0.238
0.392 0.392 0.162
0.608 0.608 0.838
0.768 0.768 0.762
0.957 0.957 0.709
0.055 0.055 0.936
0.289 0.289 0.989
0.711 0.711 0.011
0.945 0.945 0.064
0.351 0.351 0.573
0.649 0.649 0.427
```

Values from the calculation:
Fermi-level density of states: 7.05 states/eV per cell
E: -8.2390 eV per atom
Crystal system: monoclinic

=====

# 5
GeBSe3 | PBE | optimized geometry

```
GeBSe3
1.0
1.753 -11.057 0.000
1.753 11.057 0.000
0.000 0.000 5.968
Ge B Se
2 2 6
Direct
0.168 0.832 0.500
0.832 0.168 0.000
0.375 0.625 0.567
0.625 0.375 0.067
0.079 0.921 0.204
0.289 0.711 0.702
0.394 0.606 0.230
0.606 0.394 0.730
0.711 0.289 0.202
0.921 0.079 0.704
```

Values from the calculation:
Raw formation energy: -0.07 eV per atom
Fermi-level density of states: 2.78 states/eV per cell
ΔE to the lowest computed polymorph: 0 meV per atom
E: -4.4242 eV per atom
Crystal system: orthorhombic

=====

# 6
SrSc | PBE | optimized geometry

```
SrSc
1.0
10.010 0.000 0.000
0.000 10.010 0.000
0.000 0.000 10.010
Sr Sc
6 6
Direct
0.000 0.250 0.500
0.000 0.750 0.500
0.250 0.500 0.000
0.500 0.000 0.250
0.500 0.000 0.750
0.750 0.500 0.000
0.000 0.500 0.250
0.000 0.500 0.750
0.250 0.000 0.500
0.500 0.250 0.000
0.500 0.750 0.000
0.750 0.000 0.500
```

Values from the calculation:
Energy of formation: 1.789 eV per atom
Fermi-level density of states: 37.07 states/eV per cell
ΔE to the lowest computed polymorph: 1594 meV per atom
E: -2.2179 eV per atom
Crystal system: cubic

=====

# 7
Sc2CdGa | PBE | optimized geometry

```
Sc2CdGa
1.0
1.676 0.967 9.038
-1.676 0.967 9.038
0.000 -1.935 9.038
Sc Cd Ga
2 1 1
Direct
0.244 0.244 0.244
0.756 0.756 0.756
0.000 0.000 0.000
0.500 0.500 0.500
```

Values from the calculation:
Energy of formation: -0.301 eV per atom
Fermi-level density of states: 2.96 states/eV per cell
E: -4.4525 eV per atom
Crystal system: trigonal

=====

# 8
PuAg2Pb2O6 | PBE | optimized geometry

```
PuAg2Pb2O6
1.0
3.614 -4.766 0.000
3.614 4.766 0.000
-3.276 0.000 5.573
Pu Ag Pb O
1 2 2 6
Direct
0.000 0.000 0.000
0.351 0.649 0.000
0.649 0.351 0.000
0.194 0.806 0.500
0.806 0.194 0.500
0.026 0.336 0.253
0.190 0.190 0.830
0.336 0.026 0.253
0.664 0.974 0.747
0.810 0.810 0.170
0.974 0.664 0.747
```

Values from the calculation:
Raw formation energy: -1.29 eV per atom
Fermi-level density of states: 6.74 states/eV per cell
E: -6.4934 eV per atom
Crystal system: monoclinic